VASP calculation (meta-GGA SCAN) on a crystal of Zn4CdAu relaxed with PBEsol.

## Properties
As for the symmetry: F-43m (216). Its density of states at the Fermi level is 1.75 states/eV/cell. The formation energy comes out at -45 meV per atom.

Cell: 5.060 5.060 5.060 Å, 60.00 60.00 60.00°
Atoms (fractional coordinates):
Zn (0.125, 0.125, 0.125)
Zn (0.125, 0.125, 0.624)
Zn (0.125, 0.624, 0.125)
Zn (0.624, 0.125, 0.125)
Cd (0.750, 0.750, 0.750)
Au (0.500, 0.500, 0.500)



VASP calculation (meta-GGA SCAN) on a crystal of CaPt2Br relaxed with PBEsol.

## Properties
As for the symmetry: P4/mmm (123). Its density of states at the Fermi level is 4.18 states/eV/cell. The value obtained for the relative energy among the computed polymorphs is 0.000 eV per atom. Its raw formation energy is -0.491 eV/atom.

Cell: 3.803 3.803 5.462 Å, 90.00 90.00 90.00°
Atoms (fractional coordinates):
Ca (0.000, 0.000, 0.000)
Pt (0.000, 0.500, 0.500)
Pt (0.500, 0.000, 0.500)
Br (0.500, 0.500, 0.000)



VASP calculation (meta-GGA SCAN) on a crystal of ZrTcH2Os relaxed with PBEsol.

## Properties
As for the symmetry: P4/mmm (123). Its density of states at the Fermi level is 2.60 states/eV/cell. The value obtained for the final energy is -27.89 eV per atom.

Cell: 3.589 3.589 5.134 Å, 90.00 90.00 90.00°
Atoms (fractional coordinates):
Zr (0.000, 0.000, 0.000)
Tc (0.500, 0.500, 0.000)
H (0.000, 0.500, 0.500)
H (0.500, 0.000, 0.500)
Os (0.000, 0.000, 0.500)